## CuC3 (GGA-PBE)

Data for a relaxed structure of CuC3.

The value obtained for the spin magnetization is 1.81 μB per cell. Its formation energy from the elements is 210.3 kJ/mol of atoms. The relative energy among the computed polymorphs comes out at 1579 meV/atom. The total energy is -5.762 eV per atom.

a b c (Å): 4.3303 4.3303 7.4064
angles (deg): 90.00 90.00 120.00
With the nearest neighbours (Å) after each atom.
Space group P6_3/mmc (No. 194)
One atom of each set of equivalent atoms:
Cu1 0.3333 0.6667 0.2500  6 C 2.21
C1 0.1109 0.2219 0.7500  2 C 1.44